! CaPrAg PBE optimized geometry; values from VASP
! Space group: R-3m (166)
! Magnetization, μB per formula unit: 0.00
! Energy, eV per atom: -3.234
&SYSTEM
  ibrav = 0, nat = 6, ntyp = 3
/
ATOMIC_SPECIES
Ca 40.08 Ca.upf
Pr 140.91 Pr.upf
Ag 107.87 Ag.upf
CELL_PARAMETERS angstrom
2.580 1.490 8.723
-2.580 1.490 8.723
0.000 -2.980 8.723
ATOMIC_POSITIONS angstrom
Ca 0.000 0.000 3.295
Ca 0.000 0.000 22.874
Pr 0.000 0.000 9.776
Pr 0.000 0.000 16.393
Ag 0.000 0.000 6.604
Ag 0.000 0.000 19.565

! CaPrAg PBE optimized geometry; values from VASP
! Space group: I4mm (107)
! Magnetization, μB per formula unit: 0.15
! Energy, eV per atom: -3.355
&SYSTEM
  ibrav = 0, nat = 3, ntyp = 3
/
ATOMIC_SPECIES
Ca 40.08 Ca.upf
Pr 140.91 Pr.upf
Ag 107.87 Ag.upf
CELL_PARAMETERS angstrom
-1.855 1.855 6.698
1.855 -1.855 6.698
1.855 1.855 -6.698
ATOMIC_POSITIONS angstrom
Ca 0.000 0.000 0.000
Pr 0.000 0.000 3.744
Ag 0.000 0.000 8.551